No. 1
DFT (GGA-PBE) results for crystalline Li4La3Ga4 at its relaxed geometry.

Its uncorrected energy is -77.19 eV/cell. The formation energy is -0.37 eV/atom. For the calculated volume, the calculation gives 493 Å³/cell. The spin magnetization is 0.001 μB/f.u. For the density, the calculation gives 4.9 g cm⁻³. As for the energy above the most stable polymorph in this dataset: 0.0000 eV per atom.

The space group is Immm (No. 71) and the conventional cell measures 4.689, 7.072 and 14.875 Å, with angles of 90.00, 90.00 and 90.00 degrees. The asymmetric unit holds Li at (0.000, 0.191, 0.169), La at (0.000, 0.000, 0.365), La at (0.000, 0.500, 0.500), Ga at (0.000, 0.320, 0.000) and Ga at (0.000, 0.500, 0.288).



No. 2
DFT (GGA-PBE) results for crystalline Sm8C3Se4S at its relaxed geometry.

Its uncorrected energy is -313.39 eV/cell. For the calculated volume, the calculation gives 1081 Å³/cell. The spin magnetization is 0.000 μB/f.u. Its raw formation energy is -1.3108 eV per atom. For the density, the calculation gives 7.3 g cm⁻³.

The space group is R-3m (No. 166, hexagonal axes) and the conventional cell measures 7.8611, 7.8611 and 20.2029 Å, with angles of 90.00, 90.00 and 120.00 degrees. The asymmetric unit holds Sm at (0.0000, 0.0000, 0.2362), Sm at (0.0183, 0.5092, 0.7625), C at (0.0000, 0.5000, 0.5000), Se at (0.0000, 0.0000, 0.0000), Se at (0.0000, 0.5000, 0.0000) and S at (0.0000, 0.0000, 0.5000).



No. 3
DFT (GGA-PBE) results for crystalline TlSiGe2 at its relaxed geometry.

Its uncorrected energy is -48.13 eV/cell. For the calculated volume, the calculation gives 269 Å³/cell. The spin magnetization is 0.000 μB/f.u. Its raw formation energy is 0.2448 eV per atom. For the density, the calculation gives 7.0 g cm⁻³. As for the energy above the most stable polymorph in this dataset: 0.0000 eV per atom.

The space group is R-3m (No. 166, hexagonal axes) and the conventional cell measures 3.7300, 3.7300 and 22.3310 Å, with angles of 90.00, 90.00 and 120.00 degrees. The asymmetric unit holds Tl at (0.0000, 0.0000, 0.0000), Si at (0.0000, 0.0000, 0.5000) and Ge at (0.0000, 0.0000, 0.2292).



No. 4
DFT (GGA-PBE) results for crystalline GaNiIrRh at its relaxed geometry.

Its uncorrected energy is -104.06 eV/cell. The formation energy is -0.25 eV/atom. For the calculated volume, the calculation gives 216 Å³/cell. The spin magnetization is 1.789 μB/f.u. For the density, the calculation gives 13.0 g cm⁻³.

The space group is F-43m (No. 216) and the conventional cell measures 6.002, 6.002 and 6.002 Å, with angles of 90.00, 90.00 and 90.00 degrees. The asymmetric unit holds Ga at (0.000, 0.000, 0.000), Ni at (0.000, 0.000, 0.500), Ir at (0.250, 0.250, 0.250) and Rh at (0.250, 0.250, 0.750).



No. 5
DFT (GGA-PBE) results for crystalline Sm2Zn16Ga at its relaxed geometry.

Its uncorrected energy is -112.71 eV/cell. The formation energy is -0.25 eV/atom. For the calculated volume, the calculation gives 935 Å³/cell. The spin magnetization is 0.000 μB/f.u. For the density, the calculation gives 7.5 g cm⁻³.

The space group is R3m (No. 160, hexagonal axes) and the conventional cell measures 9.0558, 9.0558 and 13.1720 Å, with angles of 90.00, 90.00 and 120.00 degrees. The asymmetric unit holds Sm at (0.0000, 0.0000, 0.0000), Sm at (0.0000, 0.0000, 0.3321), Zn at (0.0000, 0.0000, 0.5692), Zn at (0.0001, 0.2996, 0.6659), Zn at (0.0053, 0.5027, 0.1659), Zn at (0.0091, 0.5045, 0.8207), Zn at (0.1727, 0.3454, 0.8453) and Ga at (0.0000, 0.0000, 0.7660).



No. 6
DFT (GGA-PBE) results for crystalline TiGa2F8 at its relaxed geometry.

Its uncorrected energy is -119.12 eV/cell. For the calculated volume, the calculation gives 305 Å³/cell. The spin magnetization is 0.000 μB/f.u. Its raw formation energy is -2.7856 eV per atom. For the density, the calculation gives 3.7 g cm⁻³.

The space group is C2/m (No. 12) and the conventional cell measures 8.476, 6.955 and 5.180 Å, with angles of 90.00, 93.14 and 90.00 degrees. The asymmetric unit holds Ti at (0.000, 0.000, 0.000), Ga at (0.056, 0.500, 0.221), F at (0.065, 0.197, 0.237), F at (0.140, 0.500, 0.566) and F at (0.204, 0.000, 0.867).



No. 7
DFT (GGA-PBE) results for crystalline KScAgB2 at its relaxed geometry.

Its uncorrected energy is -17.11 eV/cell. The formation energy is 1.30 eV/atom. For the calculated volume, the calculation gives 122 Å³/cell. The spin magnetization is 0.000 μB/f.u. For the density, the calculation gives 2.9 g cm⁻³.

The space group is P4/mmm (No. 123) and the conventional cell measures 4.716, 4.716 and 5.467 Å, with angles of 90.00, 90.00 and 90.00 degrees. The asymmetric unit holds K at (0.000, 0.000, 0.000), Sc at (0.500, 0.500, 0.500), Ag at (0.500, 0.500, 0.000) and B at (0.000, 0.500, 0.500).



No. 8
DFT (GGA-PBE) results for crystalline NaGa2I6 at its relaxed geometry.

Its uncorrected energy is -65.61 eV/cell. For the calculated volume, the calculation gives 1260 Å³/cell. The spin magnetization is 1.002 μB/f.u. Its raw formation energy is -0.5773 eV per atom. For the density, the calculation gives 3.7 g cm⁻³.

The space group is R3 (No. 146, hexagonal axes) and the conventional cell measures 7.7176, 7.7176 and 24.4354 Å, with angles of 90.00, 90.00 and 120.00 degrees. The asymmetric unit holds Na at (0.0000, 0.0000, 0.0000), Ga at (0.0000, 0.0000, 0.6140), Ga at (0.0000, 0.0000, 0.7235), I at (0.0010, 0.3218, 0.5855) and I at (0.0052, 0.6529, 0.4184).



No. 9
DFT (GGA-PBE) results for crystalline SiOs2Pt at its relaxed geometry.

Its uncorrected energy is -66.53 eV/cell. For the calculated volume, the calculation gives 114 Å³/cell. The spin magnetization is 0.000 μB/f.u. Its raw formation energy is 0.1648 eV per atom. For the density, the calculation gives 17.6 g cm⁻³.

The space group is I4/mmm (No. 139) and the conventional cell measures 3.941, 3.941 and 7.315 Å, with angles of 90.00, 90.00 and 90.00 degrees. The asymmetric unit holds Si at (0.000, 0.000, 0.000), Os at (0.000, 0.500, 0.250) and Pt at (0.000, 0.000, 0.500).



No. 10
DFT (GGA-PBE) results for crystalline ZrSc5Zn4 at its relaxed geometry.

Its uncorrected energy is -48.27 eV/cell. The formation energy is -0.30 eV/atom. For the calculated volume, the calculation gives 198 Å³/cell. The spin magnetization is 0.000 μB/f.u. For the density, the calculation gives 4.8 g cm⁻³.

The space group is P4/mmm (No. 123) and the conventional cell measures 3.300, 3.300 and 18.198 Å, with angles of 90.00, 90.00 and 90.00 degrees. The asymmetric unit holds Zr at (0.000, 0.000, 0.000), Sc at (0.500, 0.500, 0.120), Sc at (0.500, 0.500, 0.313), Sc at (0.500, 0.500, 0.500), Zn at (0.000, 0.000, 0.218) and Zn at (0.000, 0.000, 0.406).



No. 11
DFT (GGA-PBE) results for crystalline LaMo at its relaxed geometry.

Its uncorrected energy is -13.87 eV/cell. The formation energy is 0.94 eV/atom. For the calculated volume, the calculation gives 46 Å³/cell. The spin magnetization is 1.250 μB/f.u. For the density, the calculation gives 8.5 g cm⁻³. As for the energy above the most stable polymorph in this dataset: 0.7021 eV per atom.

The space group is P-6m2 (No. 187) and the conventional cell measures 3.2542, 3.2542 and 5.0204 Å, with angles of 90.00, 90.00 and 120.00 degrees. The asymmetric unit holds La at (0.0000, 0.0000, 0.0000) and Mo at (0.3333, 0.6667, 0.5000).



No. 12
DFT (GGA-PBE) results for crystalline Ac12Tl6Ru at its relaxed geometry.

Its uncorrected energy is -228.80 eV/cell. The formation energy is -0.18 eV/atom. For the calculated volume, the calculation gives 2286 Å³/cell. The spin magnetization is 0.000 μB/f.u. For the density, the calculation gives 8.8 g cm⁻³.

The space group is R-3 (No. 148, hexagonal axes) and the conventional cell measures 13.3361, 13.3361 and 14.8413 Å, with angles of 90.00, 90.00 and 120.00 degrees. The asymmetric unit holds Ac at (0.0318, 0.1924, 0.3893), Ac at (0.0375, 0.8459, 0.8846), Tl at (0.0107, 0.3978, 0.2583) and Ru at (0.0000, 0.0000, 0.0000).



No. 13
DFT (GGA-PBE) results for crystalline Ho7Er12Mg at its relaxed geometry.

Its uncorrected energy is -143.35 eV/cell. The formation energy is 0.84 eV/atom. For the calculated volume, the calculation gives 1686 Å³/cell. The spin magnetization is 0.047 μB/f.u. For the density, the calculation gives 6.3 g cm⁻³. As for the energy above the most stable polymorph in this dataset: 0.6168 eV per atom.

The space group is Im-3 (No. 204) and the conventional cell measures 11.903, 11.903 and 11.903 Å, with angles of 90.00, 90.00 and 90.00 degrees. The asymmetric unit holds Ho at (0.000, 0.000, 0.500), Ho at (0.250, 0.250, 0.250), Er at (0.000, 0.262, 0.359) and Mg at (0.000, 0.000, 0.000).



No. 14
DFT (GGA-PBE) results for crystalline KAcReO5 at its relaxed geometry.

Its uncorrected energy is -238.16 eV/cell. For the calculated volume, the calculation gives 669 Å³/cell. The spin magnetization is 0.997 μB/f.u. Its raw formation energy is -2.1370 eV per atom. For the density, the calculation gives 5.3 g cm⁻³.

The space group is C2/c (No. 15) and the conventional cell measures 7.707, 10.722 and 8.630 Å, with angles of 90.00, 110.22 and 90.00 degrees. The asymmetric unit holds K at (0.000, 0.180, 0.250), Ac at (0.000, 0.500, 0.000), Re at (0.000, 0.170, 0.750), O at (0.000, 0.419, 0.250), O at (0.083, 0.276, 0.628) and O at (0.146, 0.064, 0.902).



No. 15
DFT (GGA-PBE) results for crystalline Ni6SnAu at its relaxed geometry.

Its uncorrected energy is -337.46 eV/cell. The formation energy is -0.03 eV/atom. For the calculated volume, the calculation gives 822 Å³/cell. The spin magnetization is 1.351 μB/f.u. For the density, the calculation gives 10.8 g cm⁻³.

The space group is Cmmm (No. 65) and the conventional cell measures 7.426, 10.530 and 10.510 Å, with angles of 90.00, 90.00 and 90.00 degrees. The asymmetric unit holds Ni at (0.000, 0.000, 0.000), Ni at (0.000, 0.000, 0.500), Ni at (0.000, 0.249, 0.250), Ni at (0.000, 0.500, 0.000), Ni at (0.000, 0.500, 0.500), Ni at (0.250, 0.125, 0.125), Ni at (0.250, 0.125, 0.375), Sn at (0.000, 0.000, 0.249), Sn at (0.000, 0.250, 0.500), Au at (0.000, 0.250, 0.000) and Au at (0.000, 0.500, 0.248).



No. 16
DFT (GGA-PBE) results for crystalline NaSnB at its relaxed geometry.

Its uncorrected energy is -45.29 eV/cell. The formation energy is 0.23 eV/atom. For the calculated volume, the calculation gives 253 Å³/cell. The spin magnetization is 0.000 μB/f.u. For the density, the calculation gives 4.0 g cm⁻³.

The space group is Amm2 (No. 38) and the conventional cell measures 5.524, 3.585 and 12.751 Å, with angles of 90.00, 90.00 and 90.00 degrees. The asymmetric unit holds Na at (0.000, 0.000, 0.000), Na at (0.500, 0.000, 0.174), Sn at (0.000, 0.000, 0.743), Sn at (0.500, 0.000, 0.448) and B at (0.357, 0.000, 0.831).



No. 17
DFT (GGA-PBE) results for crystalline NiIrSe2 at its relaxed geometry.

Its uncorrected energy is -39.41 eV/cell. For the calculated volume, the calculation gives 125 Å³/cell. The spin magnetization is 0.000 μB/f.u. Its raw formation energy is 0.4768 eV per atom. For the density, the calculation gives 10.9 g cm⁻³.

The space group is I-4m2 (No. 119) and the conventional cell measures 3.779, 3.779 and 8.739 Å, with angles of 90.00, 90.00 and 90.00 degrees. The asymmetric unit holds Ni at (0.000, 0.000, 0.000), Ir at (0.000, 0.500, 0.250), Se at (0.000, 0.000, 0.500) and Se at (0.000, 0.500, 0.750).



No. 18
DFT (GGA-PBE) results for crystalline LiTm3Ag4 at its relaxed geometry.

Its uncorrected energy is -86.64 eV/cell. The formation energy is -0.27 eV/atom. For the calculated volume, the calculation gives 525 Å³/cell. The spin magnetization is 0.000 μB/f.u. For the density, the calculation gives 9.0 g cm⁻³.

The space group is R-3m (No. 166, hexagonal axes) and the conventional cell measures 4.9825, 4.9825 and 24.3979 Å, with angles of 90.00, 90.00 and 120.00 degrees. The asymmetric unit holds Li at (0.0000, 0.0000, 0.0000), Tm at (0.0000, 0.0000, 0.2528), Tm at (0.0000, 0.0000, 0.5000), Ag at (0.0000, 0.0000, 0.1241) and Ag at (0.0000, 0.0000, 0.3756).



No. 19
DFT (GGA-PBE) results for crystalline AcTmHgGe at its relaxed geometry.

Its uncorrected energy is -61.37 eV/cell. The formation energy is -0.46 eV/atom. For the calculated volume, the calculation gives 441 Å³/cell. The spin magnetization is 0.000 μB/f.u. For the density, the calculation gives 10.1 g cm⁻³.

The space group is F-43m (No. 216) and the conventional cell measures 7.613, 7.613 and 7.613 Å, with angles of 90.00, 90.00 and 90.00 degrees. The asymmetric unit holds Ac at (0.000, 0.000, 0.000), Tm at (0.000, 0.000, 0.500), Hg at (0.250, 0.250, 0.750) and Ge at (0.250, 0.250, 0.250).



No. 20
DFT (GGA-PBE) results for crystalline KGa2Au7 at its relaxed geometry.

Its uncorrected energy is -62.39 eV/cell. The formation energy is -0.11 eV/atom. For the calculated volume, the calculation gives 468 Å³/cell. The spin magnetization is 0.000 μB/f.u. For the density, the calculation gives 11.1 g cm⁻³.

The space group is Cmmm (No. 65) and the conventional cell measures 7.634, 12.445 and 4.923 Å, with angles of 90.00, 90.00 and 90.00 degrees. The asymmetric unit holds K at (0.000, 0.000, 0.000), Ga at (0.000, 0.289, 0.500), Au at (0.000, 0.376, 0.000), Au at (0.000, 0.500, 0.500) and Au at (0.188, 0.119, 0.500).